# 1
VASP calculation (PBE-GGA) on a geometry-optimized PmSiNO structure.

As for the total magnetic moment: 0.00 μB per formula unit.

a b c (Å): 3.8150 4.9655 5.3373
angles (deg): 90.00 90.00 90.00
Element x y z (fractional)
N 0.0000 0.4993 0.2486
N 0.0000 0.5007 0.7486
O 0.5000 0.2273 0.4996
O 0.5000 0.7727 0.9995
Pm 0.5000 0.7448 0.4988
Pm 0.5000 0.2552 0.9988
Si 0.0000 0.2598 0.4990
Si 0.0000 0.7402 0.9990

# 2
VASP calculation (PBE-GGA) on a geometry-optimized PmSiNO structure.

As for the total magnetic moment: 0.02 μB per formula unit.

a b c (Å): 3.9826 3.9826 7.5030
angles (deg): 90.00 90.00 90.00
Element x y z (fractional)
N 0.7500 0.7500 0.4927
N 0.2500 0.2500 0.5073
O 0.7500 0.2500 0.0000
O 0.2500 0.7500 0.0000
Pm 0.2500 0.2500 0.1551
Pm 0.7500 0.7500 0.8449
Si 0.7500 0.2500 0.5000
Si 0.2500 0.7500 0.5000

# 3
VASP calculation (PBE-GGA) on a geometry-optimized PmSiNO structure.

As for the total magnetic moment: 0.00 μB per formula unit.

a b c (Å): 5.4001 8.2272 4.9692
angles (deg): 90.00 90.00 90.00
Element x y z (fractional)
N 0.3808 0.0492 0.1388
N 0.8808 0.9508 0.1388
N 0.1192 0.0492 0.6388
N 0.6192 0.9508 0.6388
O 0.0144 0.2749 0.0368
O 0.5144 0.7251 0.0368
O 0.4856 0.2749 0.5368
O 0.9856 0.7251 0.5368
Pm 0.5048 0.3619 0.0380
Pm 0.0048 0.6381 0.0380
Pm 0.9952 0.3619 0.5380
Pm 0.4952 0.6381 0.5380
Si 0.4109 0.0861 0.4888
Si 0.9109 0.9139 0.4888
Si 0.0891 0.0861 0.9888
Si 0.5891 0.9139 0.9888

# 4
VASP calculation (PBE-GGA) on a geometry-optimized PmSiNO structure.

As for the total magnetic moment: 0.00 μB per formula unit.

a b c (Å): 3.2887 5.2035 6.1488
angles (deg): 90.00 90.00 90.00
Element x y z (fractional)
N 0.0000 0.3114 0.4257
N 0.0000 0.6886 0.9257
O 0.5000 0.8812 0.2345
O 0.5000 0.1188 0.7345
Pm 0.0000 0.1785 0.0422
Pm 0.0000 0.8215 0.5422
Si 0.5000 0.6371 0.0436
Si 0.5000 0.3629 0.5436

# 5
VASP calculation (PBE-GGA) on a geometry-optimized PmSiNO structure.

As for the total magnetic moment: 0.00 μB per formula unit.

a b c (Å): 4.6642 4.6642 5.0098
angles (deg): 90.00 90.00 90.00
Element x y z (fractional)
N 0.0000 0.5000 0.3435
N 0.5000 0.0000 0.6565
O 0.0000 0.0000 0.0000
O 0.5000 0.5000 0.0000
Pm 0.0000 0.0000 0.5000
Pm 0.5000 0.5000 0.5000
Si 0.0000 0.5000 0.0016
Si 0.5000 0.0000 0.9984

# 6
VASP calculation (PBE-GGA) on a geometry-optimized PmSiNO structure.

As for the total magnetic moment: 0.00 μB per formula unit.

a b c (Å): 6.6696 6.6943 5.2789
angles (deg): 90.00 90.00 90.00
Element x y z (fractional)
N 0.9118 0.3539 0.0089
N 0.4118 0.6461 0.0089
N 0.5882 0.3539 0.5089
N 0.0882 0.6461 0.5089
O 0.5131 0.0071 0.2293
O 0.0131 0.9929 0.2293
O 0.9869 0.0071 0.7293
O 0.4869 0.9929 0.7293
Pm 0.9434 0.3214 0.4819
Pm 0.4434 0.6786 0.4819
Pm 0.5566 0.3214 0.9819
Pm 0.0566 0.6786 0.9819
Si 0.4125 0.1609 0.4823
Si 0.9125 0.8391 0.4823
Si 0.0875 0.1609 0.9823
Si 0.5875 0.8391 0.9823

# 7
VASP calculation (PBE-GGA) on a geometry-optimized SrPmNO structure.

As for the total magnetic moment: 0.00 μB per formula unit.

a b c (Å): 6.9278 8.1311 6.0053
angles (deg): 90.00 90.00 90.00
Element x y z (fractional)
N 0.9430 0.1557 0.0866
N 0.4430 0.8443 0.0866
N 0.5570 0.1557 0.5866
N 0.0570 0.8443 0.5866
O 0.4059 0.3909 0.1104
O 0.9059 0.6091 0.1104
O 0.0941 0.3909 0.6104
O 0.5941 0.6091 0.6104
Pm 0.4140 0.3817 0.4945
Pm 0.9140 0.6183 0.4945
Pm 0.0860 0.3817 0.9945
Pm 0.5860 0.6183 0.9945
Sr 0.5870 0.1230 0.0109
Sr 0.0870 0.8770 0.0109
Sr 0.9130 0.1230 0.5109
Sr 0.4130 0.8770 0.5109

# 8
VASP calculation (PBE-GGA) on a geometry-optimized SrPmNO structure.

As for the total magnetic moment: 0.00 μB per formula unit.

a b c (Å): 5.0853 5.0853 5.1764
angles (deg): 90.00 90.00 90.00
Element x y z (fractional)
N 0.2500 0.2500 0.4983
N 0.7500 0.7500 0.5017
O 0.7500 0.2500 0.0000
O 0.2500 0.7500 0.0000
Pm 0.7500 0.2500 0.5000
Pm 0.2500 0.7500 0.5000
Sr 0.7500 0.7500 0.0002
Sr 0.2500 0.2500 0.9998

| no. | E above lowest polymorph (meV per atom) |
| --- | --- |
| 1 | 52 |
| 2 | 349 |
| 3 | 189 |
| 4 | 0 |
| 5 | 452 |
| 6 | 132 |
| 7 | 170 |
| 8 | 10 |